DFT (GGA-PBE) results for a geometry-optimized Mn2FeAs structure.

Output
Volume: 47 Å³/cell
Calculated density: 8.6 g cm⁻³
Total magnetic moment: 2.92 μB/cell
DFT formation energy: 23 kJ/mol of formula units

a = 4.0004 Å, b = 4.0004 Å, c = 2.9113 Å
α = 90.00°, β = 90.00°, γ = 90.00°
Site moments in Bohr magnetons follow the coordinates.
Sites, in units of the cell vectors:
As (0.5000, 0.0000, 0.5000)  0.00
Fe (0.0000, 0.5000, 0.5000)  2.32
Mn (0.0000, 0.0000, 0.0000)  0.29
Mn (0.5000, 0.5000, 0.0000)  0.29

DFT (GGA-PBE) results for a geometry-optimized Mn3FeAs2 structure.

Output
Volume: 160 Å³/cell
Calculated density: 7.7 g cm⁻³
Total magnetic moment: 18.52 μB/cell
DFT formation energy: -84 kJ/mol of formula units

a = 5.0446 Å, b = 5.0663 Å, c = 7.2250 Å
α = 110.52°, β = 110.43°, γ = 90.00°
Site moments in Bohr magnetons follow the coordinates.
Sites, in units of the cell vectors:
Mn (0.4232, 0.6739, 0.3478)  2.84
Mn (0.5768, 0.3261, 0.6522)  2.84
Mn (0.0754, 0.8261, 0.6522)  2.84
Mn (0.9246, 0.1739, 0.3478)  2.84
Mn (0.5000, 0.7500, 0.0000)  1.97
Mn (0.5000, 0.2500, 0.0000)  1.97
Fe (0.0000, 0.2500, 0.0000)  1.79
Fe (0.0000, 0.7500, 0.0000)  1.79
As (0.3846, 0.1327, 0.2653)  -0.12
As (0.6154, 0.8673, 0.7347)  -0.12
As (0.1193, 0.3673, 0.7347)  -0.12
As (0.8807, 0.6327, 0.2653)  -0.12